A geometry-optimized Er8CuRu5 structure, computed with PBE.

```
data_Er8CuRu5
_cell_length_a 8.504
_cell_length_b 8.504
_cell_length_c 8.446
_cell_angle_alpha 90.00
_cell_angle_beta 90.00
_cell_angle_gamma 90.00
_space_group_name_H-M_alt 'I -4'
_space_group_IT_number 82
loop_
_space_group_symop_operation_xyz
'x,y,z'
'y,-x,-z'
'-x,-y,z'
'-y,x,-z'
'x+1/2,y+1/2,z+1/2'
'y+1/2,-x+1/2,-z+1/2'
'-x+1/2,-y+1/2,z+1/2'
'-y+1/2,x+1/2,-z+1/2'
loop_
_atom_site_label
_atom_site_type_symbol
_atom_site_fract_x
_atom_site_fract_y
_atom_site_fract_z
Er1 Er 0.062 0.321 0.051
Er2 Er 0.074 0.184 0.674
Cu1 Cu 0.000 0.000 0.000
Ru1 Ru 0.000 0.500 0.750
Ru2 Ru 0.144 0.249 0.359
```

The crystal system is tetragonal. The calculation puts the density at 10.37 g/cm³. The formation energy comes out at -0.26 eV/atom. For the calculated volume, the calculation gives 610.9 Å³ per cell.

***

A geometry-optimized Ca2CuSe structure, computed with PBE.

```
data_Ca2CuSe
_cell_length_a 4.133
_cell_length_b 4.133
_cell_length_c 11.888
_cell_angle_alpha 90.00
_cell_angle_beta 90.00
_cell_angle_gamma 90.00
_space_group_name_H-M_alt 'I -4 m 2'
_space_group_IT_number 119
_space_group_name_Hall 'I -4 -2'
loop_
_atom_site_label
_atom_site_type_symbol
_atom_site_fract_x
_atom_site_fract_y
_atom_site_fract_z
Ca1 Ca 0.000 0.000 0.000
Ca2 Ca 0.000 0.500 0.250
Cu1 Cu 0.000 0.500 0.750
Se1 Se 0.000 0.000 0.500
```

The crystal system is tetragonal. The formation energy from raw total energies is -0.675 eV per atom. The calculation puts the density at 3.64 g/cm³. For the calculated volume, the calculation gives 203.1 Å³ per cell.

***

A geometry-optimized CaZr2Ni structure, computed with PBE.

```
data_CaZr2Ni
_cell_length_a 3.5154
_cell_length_b 3.5154
_cell_length_c 27.9097
_cell_angle_alpha 90.00
_cell_angle_beta 90.00
_cell_angle_gamma 120.00
_space_group_name_H-M_alt 'R -3 m'
_space_group_IT_number 166
_space_group_name_Hall '-R 3 2"'
loop_
_atom_site_label
_atom_site_type_symbol
_atom_site_fract_x
_atom_site_fract_y
_atom_site_fract_z
Ca1 Ca 0.0000 0.0000 0.0000
Zr1 Zr 0.0000 0.0000 0.2231
Ni1 Ni 0.0000 0.0000 0.5000
```

The energy above the most stable polymorph in this dataset comes out at 226 meV/atom. The crystal system is trigonal. The calculation puts the density at 4.69 g/cm³. The formation energy comes out at 0.15 eV/atom. For the calculated volume, the calculation gives 298.7 Å³ per cell.

***

A geometry-optimized CaBeCl4 structure, computed with PBE.

```
data_CaBeCl4
_cell_length_a 8.881
_cell_length_b 8.881
_cell_length_c 7.382
_cell_angle_alpha 90.00
_cell_angle_beta 90.00
_cell_angle_gamma 90.00
_space_group_name_H-M_alt 'I 41/a m d'
_space_group_IT_number 141
loop_
_space_group_symop_operation_xyz
'x,y,z'
'-x,-y,-z'
'-y+1/4,x+3/4,z+1/4'
'y+1/4,-x+3/4,-z+1/4'
'-x+1/2,-y,z+1/2'
'x+1/2,y,-z+1/2'
'y+1/4,-x+1/4,z+3/4'
'-y+1/4,x+1/4,-z+3/4'
'x,-y,-z'
'-x,y,z'
'-y+1/4,-x+1/4,-z+3/4'
'y+1/4,x+1/4,z+3/4'
'-x+1/2,y,-z+1/2'
'x+1/2,-y,z+1/2'
'y+1/4,x+3/4,-z+1/4'
'-y+1/4,-x+3/4,z+1/4'
'x+1/2,y+1/2,z+1/2'
'-x+1/2,-y+1/2,-z+1/2'
'-y+3/4,x+1/4,z+3/4'
'y+3/4,-x+1/4,-z+3/4'
'-x,-y+1/2,z'
'x,y+1/2,-z'
'y+3/4,-x+3/4,z+1/4'
'-y+3/4,x+3/4,-z+1/4'
'x+1/2,-y+1/2,-z+1/2'
'-x+1/2,y+1/2,z+1/2'
'-y+3/4,-x+3/4,-z+1/4'
'y+3/4,x+3/4,z+1/4'
'-x,y+1/2,-z'
'x,-y+1/2,z'
'y+3/4,x+1/4,-z+3/4'
'-y+3/4,-x+1/4,z+3/4'
loop_
_atom_site_label
_atom_site_type_symbol
_atom_site_fract_x
_atom_site_fract_y
_atom_site_fract_z
Ca1 Ca 0.000 0.250 0.375
Be1 Be 0.000 0.250 0.875
Cl1 Cl 0.000 0.072 0.703
```

The energy above the most stable polymorph in this dataset comes out at 0 meV/atom. The crystal system is tetragonal. The formation energy from raw total energies is -1.877 eV per atom. The calculation puts the density at 2.18 g/cm³. For the calculated volume, the calculation gives 582.2 Å³ per cell.

***

A geometry-optimized AlPtO2 structure, computed with PBE.

```
data_AlPtO2
_cell_length_a 2.9813
_cell_length_b 2.9813
_cell_length_c 21.4404
_cell_angle_alpha 90.00
_cell_angle_beta 90.00
_cell_angle_gamma 120.00
_space_group_name_H-M_alt 'R 3 m'
_space_group_IT_number 160
_space_group_name_Hall 'R 3 -2"'
loop_
_atom_site_label
_atom_site_type_symbol
_atom_site_fract_x
_atom_site_fract_y
_atom_site_fract_z
Al1 Al 0.0000 0.0000 0.0000
Pt1 Pt 0.0000 0.0000 0.5175
O1 O 0.0000 0.0000 0.3580
O2 O 0.0000 0.0000 0.9190
```

The crystal system is trigonal. The formation energy from raw total energies is -1.212 eV per atom. The calculation puts the density at 7.67 g/cm³. For the calculated volume, the calculation gives 165.0 Å³ per cell.

***

A geometry-optimized KBi4Pd4 structure, computed with PBE.

```
data_KBi4Pd4
_cell_length_a 9.460
_cell_length_b 9.460
_cell_length_c 5.574
_cell_angle_alpha 90.00
_cell_angle_beta 90.00
_cell_angle_gamma 90.00
_space_group_name_H-M_alt 'P 42/n'
_space_group_IT_number 86
loop_
_space_group_symop_operation_xyz
'x,y,z'
'-x,-y,-z'
'-y,x+1/2,z+1/2'
'y,-x+1/2,-z+1/2'
'-x+1/2,-y+1/2,z'
'x+1/2,y+1/2,-z'
'y+1/2,-x,z+1/2'
'-y+1/2,x,-z+1/2'
loop_
_atom_site_label
_atom_site_type_symbol
_atom_site_fract_x
_atom_site_fract_y
_atom_site_fract_z
K1 K 0.250 0.250 0.250
Bi1 Bi 0.114 0.623 0.165
Pd1 Pd 0.079 0.585 0.665
```

The crystal system is tetragonal. The calculation puts the density at 8.66 g/cm³. The formation energy comes out at -0.25 eV/atom. For the calculated volume, the calculation gives 498.9 Å³ per cell.

***

A geometry-optimized CaTm2In2 structure, computed with PBE.

```
data_CaTm2In2
_cell_length_a 3.690
_cell_length_b 28.027
_cell_length_c 5.389
_cell_angle_alpha 90.00
_cell_angle_beta 90.00
_cell_angle_gamma 90.00
_space_group_name_H-M_alt 'C m c m'
_space_group_IT_number 63
_space_group_name_Hall '-C 2c 2'
loop_
_atom_site_label
_atom_site_type_symbol
_atom_site_fract_x
_atom_site_fract_y
_atom_site_fract_z
Ca1 Ca 0.000 0.149 0.250
Tm1 Tm 0.000 0.048 0.750
Tm2 Tm 0.000 0.234 0.750
In1 In 0.000 0.359 0.250
In2 In 0.000 0.452 0.750
```

The energy above the most stable polymorph in this dataset comes out at 0 meV/atom. The crystal system is orthorhombic. The calculation puts the density at 7.24 g/cm³. The formation energy comes out at -0.35 eV/atom. For the calculated volume, the calculation gives 557.3 Å³ per cell.

***

A geometry-optimized LaCuRe2 structure, computed with PBE.

```
data_LaCuRe2
_cell_length_a 2.9011
_cell_length_b 2.9011
_cell_length_c 29.1746
_cell_angle_alpha 90.00
_cell_angle_beta 90.00
_cell_angle_gamma 120.00
_space_group_name_H-M_alt 'R 3 m'
_space_group_IT_number 160
_space_group_name_Hall 'R 3 -2"'
loop_
_atom_site_label
_atom_site_type_symbol
_atom_site_fract_x
_atom_site_fract_y
_atom_site_fract_z
La1 La 0.0000 0.0000 0.0000
Cu1 Cu 0.0000 0.0000 0.2395
Re1 Re 0.0000 0.0000 0.5001
Re2 Re 0.0000 0.0000 0.7634
```

The energy above the most stable polymorph in this dataset comes out at 402 meV/atom. The crystal system is trigonal. The calculation puts the density at 13.47 g/cm³. The formation energy comes out at 0.52 eV/atom. For the calculated volume, the calculation gives 212.6 Å³ per cell.

***

A geometry-optimized DyZr2P structure, computed with PBE.

```
data_DyZr2P
_cell_length_a 3.6343
_cell_length_b 3.6343
_cell_length_c 25.0703
_cell_angle_alpha 90.00
_cell_angle_beta 90.00
_cell_angle_gamma 120.00
_space_group_name_H-M_alt 'R 3 m'
_space_group_IT_number 160
_space_group_name_Hall 'R 3 -2"'
loop_
_atom_site_label
_atom_site_type_symbol
_atom_site_fract_x
_atom_site_fract_y
_atom_site_fract_z
Dy1 Dy 0.0000 0.0000 0.0000
Zr1 Zr 0.0000 0.0000 0.5585
Zr2 Zr 0.0000 0.0000 0.7737
P1 P 0.0000 0.0000 0.1666
```

The crystal system is trigonal. The calculation puts the density at 6.53 g/cm³. The formation energy comes out at -0.63 eV/atom. For the calculated volume, the calculation gives 286.8 Å³ per cell.

***

A geometry-optimized Pm6SmY8 structure, computed with PBE.

```
data_Pm6SmY8
_cell_length_a 9.1457
_cell_length_b 9.1457
_cell_length_c 20.9646
_cell_angle_alpha 90.00
_cell_angle_beta 90.00
_cell_angle_gamma 120.00
_space_group_name_H-M_alt 'R -3'
_space_group_IT_number 148
_space_group_name_Hall '-R 3'
loop_
_atom_site_label
_atom_site_type_symbol
_atom_site_fract_x
_atom_site_fract_y
_atom_site_fract_z
Pm1 Pm 0.0622 0.8144 0.2093
Sm1 Sm 0.0000 0.0000 0.5000
Y1 Y 0.0000 0.0000 0.0770
Y2 Y 0.0809 0.5248 0.3077
```

The crystal system is trigonal. The calculation puts the density at 5.68 g/cm³. The formation energy comes out at 0.12 eV/atom. For the calculated volume, the calculation gives 1518.6 Å³ per cell.

***

A geometry-optimized Li2CaHg4 structure, computed with PBE.

```
data_Li2CaHg4
_cell_length_a 3.504
_cell_length_b 4.635
_cell_length_c 20.114
_cell_angle_alpha 90.00
_cell_angle_beta 90.00
_cell_angle_gamma 90.00
_space_group_name_H-M_alt 'I m m m'
_space_group_IT_number 71
_space_group_name_Hall '-I 2 2'
loop_
_atom_site_label
_atom_site_type_symbol
_atom_site_fract_x
_atom_site_fract_y
_atom_site_fract_z
Li1 Li 0.000 0.000 0.196
Ca1 Ca 0.000 0.500 0.000
Hg1 Hg 0.000 0.000 0.332
Hg2 Hg 0.000 0.500 0.424
```

The crystal system is orthorhombic. The calculation puts the density at 8.71 g/cm³. The formation energy comes out at -0.35 eV/atom. For the calculated volume, the calculation gives 326.7 Å³ per cell.

***

A geometry-optimized AcZnCo structure, computed with PBE.

```
data_AcZnCo
_cell_length_a 6.107
_cell_length_b 5.865
_cell_length_c 7.899
_cell_angle_alpha 90.00
_cell_angle_beta 111.89
_cell_angle_gamma 90.00
_space_group_name_H-M_alt 'P 1 21/c 1'
_space_group_IT_number 14
loop_
_space_group_symop_operation_xyz
'x,y,z'
'-x,-y,-z'
'-x,y+1/2,-z+1/2'
'x,-y+1/2,z+1/2'
loop_
_atom_site_label
_atom_site_type_symbol
_atom_site_fract_x
_atom_site_fract_y
_atom_site_fract_z
Ac1 Ac 0.194 0.118 0.374
Zn1 Zn 0.398 0.609 0.304
Co1 Co 0.181 0.600 0.533
```

The energy above the most stable polymorph in this dataset comes out at 47 meV/atom. The crystal system is monoclinic. The calculation puts the density at 8.89 g/cm³. The formation energy comes out at -0.09 eV/atom. For the calculated volume, the calculation gives 262.5 Å³ per cell.